FeW2Se | PBE-GGA | optimized geometry

Cell lengths 4.299, 2.917, 4.971 Å; angles 75.03, 90.00, 90.00 degrees
Fractional coordinates of all 4 atoms:
W: 0.500 0.264 0.265
W: 0.000 0.036 0.002
Fe: 0.000 0.636 0.509
Se: 0.500 0.563 0.723

Output
The total energy comes out at -9.04 eV/atom. The calculation puts the total magnetic moment at 1.5 μB/f.u. For the formation energy (no corrections), the calculation gives 419.9 meV/atom. The value obtained for the density of states at the Fermi level is 0.749 states/eV/atom.